No. 1
YTa2Ag after structural relaxation, computed with PBE-GGA.

Cell and atoms, written as CIF:
```
data_YTa2Ag
_cell_length_a 3.0248
_cell_length_b 3.0248
_cell_length_c 31.0770
_cell_angle_alpha 90.00
_cell_angle_beta 90.00
_cell_angle_gamma 120.00
_space_group_name_H-M_alt 'R -3 m'
_space_group_IT_number 166
_space_group_name_Hall '-R 3 2"'
loop_
_atom_site_label
_atom_site_type_symbol
_atom_site_fract_x
_atom_site_fract_y
_atom_site_fract_z
Y1 Y 0.0000 0.0000 0.0000
Ta1 Ta 0.0000 0.0000 0.2448
Ag1 Ag 0.0000 0.0000 0.5000
```

Output
density of states at the Fermi level = 1.14 states/eV per atom
formation energy = 0.5100 eV/atom
ρ = 11.30 Mg/m³
distance to the lowest polymorph of the same formula = 328 meV per atom


No. 2
Cs2LiTcS4 after structural relaxation, computed with PBE-GGA.

Cell and atoms, written as CIF:
```
data_Cs2LiTcS4
_cell_length_a 10.612
_cell_length_b 8.905
_cell_length_c 7.505
_cell_angle_alpha 90.00
_cell_angle_beta 134.98
_cell_angle_gamma 90.00
_space_group_name_H-M_alt 'C 1 2 1'
_space_group_IT_number 5
loop_
_space_group_symop_operation_xyz
'x,y,z'
'-x,y,-z'
'x+1/2,y+1/2,z'
'-x+1/2,y+1/2,-z'
loop_
_atom_site_label
_atom_site_type_symbol
_atom_site_fract_x
_atom_site_fract_y
_atom_site_fract_z
Cs1 Cs 0.000 0.000 0.000
Cs2 Cs 0.000 0.249 0.500
Li1 Li 0.000 0.750 0.500
Tc1 Tc 0.000 0.500 0.000
S1 S 0.112 0.638 0.893
S2 S 0.220 0.362 0.332
```

Output
density of states at the Fermi level = 0.07 states/eV per atom
ρ = 3.30 Mg/m³
E_form (uncorrected) = -0.8682 eV per atom


No. 3
HfBe2Al after structural relaxation, computed with PBE-GGA.

Cell and atoms, written as CIF:
```
data_HfBe2Al
_cell_length_a 3.8066
_cell_length_b 3.8066
_cell_length_c 13.1816
_cell_angle_alpha 90.00
_cell_angle_beta 90.00
_cell_angle_gamma 120.00
_space_group_name_H-M_alt 'R -3 m'
_space_group_IT_number 166
_space_group_name_Hall '-R 3 2"'
loop_
_atom_site_label
_atom_site_type_symbol
_atom_site_fract_x
_atom_site_fract_y
_atom_site_fract_z
Hf1 Hf 0.0000 0.0000 0.0000
Be1 Be 0.0000 0.0000 0.2076
Al1 Al 0.0000 0.0000 0.5000
```

Output
density of states at the Fermi level = 0.57 states/eV per atom
formation energy = -0.1209 eV/atom
ρ = 6.73 Mg/m³


No. 4
Ce5ScIn6 after structural relaxation, computed with PBE-GGA.

Cell and atoms, written as CIF:
```
data_Ce5ScIn6
_cell_length_a 16.053
_cell_length_b 7.052
_cell_length_c 5.659
_cell_angle_alpha 90.00
_cell_angle_beta 90.77
_cell_angle_gamma 90.00
_space_group_name_H-M_alt 'C 1 2/m 1'
_space_group_IT_number 12
loop_
_space_group_symop_operation_xyz
'x,y,z'
'-x,-y,-z'
'-x,y,-z'
'x,-y,z'
'x+1/2,y+1/2,z'
'-x+1/2,-y+1/2,-z'
'-x+1/2,y+1/2,-z'
'x+1/2,-y+1/2,z'
loop_
_atom_site_label
_atom_site_type_symbol
_atom_site_fract_x
_atom_site_fract_y
_atom_site_fract_z
Ce1 Ce 0.000 0.000 0.000
Ce2 Ce 0.162 0.000 0.666
Ce3 Ce 0.179 0.500 0.669
Sc1 Sc 0.000 0.500 0.000
In1 In 0.000 0.277 0.500
In2 In 0.161 0.266 0.167
```

Output
density of states at the Fermi level = 2.47 states/eV per atom
formation energy = -0.3682 eV/atom
ρ = 7.44 Mg/m³


No. 5
La2HgF2 after structural relaxation, computed with PBE-GGA.

Cell and atoms, written as CIF:
```
data_La2HgF2
_cell_length_a 3.957
_cell_length_b 3.957
_cell_length_c 14.272
_cell_angle_alpha 90.00
_cell_angle_beta 90.00
_cell_angle_gamma 90.00
_space_group_name_H-M_alt 'I 4/m m m'
_space_group_IT_number 139
_space_group_name_Hall '-I 4 2'
loop_
_atom_site_label
_atom_site_type_symbol
_atom_site_fract_x
_atom_site_fract_y
_atom_site_fract_z
La1 La 0.000 0.000 0.136
Hg1 Hg 0.000 0.000 0.500
F1 F 0.000 0.500 0.250
```

Output
density of states at the Fermi level = 0.48 states/eV per atom
ρ = 7.67 Mg/m³
E_form (uncorrected) = -2.3667 eV per atom


No. 6
TiPd4Au2 after structural relaxation, computed with PBE-GGA.

Cell and atoms, written as CIF:
```
data_TiPd4Au2
_cell_length_a 6.865
_cell_length_b 6.878
_cell_length_c 6.922
_cell_angle_alpha 118.75
_cell_angle_beta 119.28
_cell_angle_gamma 91.17
_space_group_name_H-M_alt 'P 1'
_space_group_IT_number 1
loop_
_space_group_symop_operation_xyz
'x,y,z'
loop_
_atom_site_label
_atom_site_type_symbol
_atom_site_fract_x
_atom_site_fract_y
_atom_site_fract_z
Ti1 Ti 0.000 0.000 0.000
Ti2 Ti 0.442 0.945 0.501
Pd1 Pd 0.005 0.159 0.420
Pd2 Pd 0.456 0.112 0.233
Pd3 Pd 0.483 0.373 0.709
Pd4 Pd 0.581 0.848 0.881
Pd5 Pd 0.664 0.773 0.293
Pd6 Pd 0.742 0.583 0.582
Pd7 Pd 0.880 0.222 0.767
Pd8 Pd 0.968 0.699 0.119
Au1 Au 0.144 0.910 0.664
Au2 Au 0.207 0.616 0.878
Au3 Au 0.250 0.480 0.335
Au4 Au 0.741 0.329 0.123
```

Output
density of states at the Fermi level = 0.40 states/eV per atom
formation energy = -0.2781 eV/atom
ρ = 12.23 Mg/m³
distance to the lowest polymorph of the same formula = 83 meV per atom


No. 7
Zr2ZnPt after structural relaxation, computed with PBE-GGA.

Cell and atoms, written as CIF:
```
data_Zr2ZnPt
_cell_length_a 7.604
_cell_length_b 7.604
_cell_length_c 5.686
_cell_angle_alpha 90.00
_cell_angle_beta 90.00
_cell_angle_gamma 90.00
_space_group_name_H-M_alt 'I -4 2 d'
_space_group_IT_number 122
_space_group_name_Hall 'I -4 2bw'
loop_
_atom_site_label
_atom_site_type_symbol
_atom_site_fract_x
_atom_site_fract_y
_atom_site_fract_z
Zr1 Zr 0.224 0.250 0.125
Zn1 Zn 0.000 0.000 0.500
Pt1 Pt 0.000 0.000 0.000
```

Output
density of states at the Fermi level = 1.26 states/eV per atom
formation energy = -0.1983 eV/atom
ρ = 8.95 Mg/m³


No. 8
Na3Sn4Pd8 after structural relaxation, computed with PBE-GGA.

Cell and atoms, written as CIF:
```
data_Na3Sn4Pd8
_cell_length_a 13.109
_cell_length_b 13.109
_cell_length_c 13.109
_cell_angle_alpha 90.00
_cell_angle_beta 90.00
_cell_angle_gamma 90.00
_space_group_name_H-M_alt 'F m -3 m'
_space_group_IT_number 225
_space_group_name_Hall '-F 4 2 3'
loop_
_atom_site_label
_atom_site_type_symbol
_atom_site_fract_x
_atom_site_fract_y
_atom_site_fract_z
Na1 Na 0.000 0.000 0.227
Sn1 Sn 0.000 0.000 0.000
Sn2 Sn 0.000 0.000 0.500
Sn3 Sn 0.000 0.250 0.250
Pd1 Pd 0.119 0.119 0.381
Pd2 Pd 0.168 0.168 0.168
```

Output
density of states at the Fermi level = 0.24 states/eV per atom
formation energy = -0.4340 eV/atom
ρ = 8.23 Mg/m³


No. 9
NbAl2Rh3 after structural relaxation, computed with PBE-GGA.

Cell and atoms, written as CIF:
```
data_NbAl2Rh3
_cell_length_a 2.927
_cell_length_b 2.927
_cell_length_c 10.052
_cell_angle_alpha 90.00
_cell_angle_beta 90.00
_cell_angle_gamma 90.00
_space_group_name_H-M_alt 'P 4/m m m'
_space_group_IT_number 123
_space_group_name_Hall '-P 4 2'
loop_
_atom_site_label
_atom_site_type_symbol
_atom_site_fract_x
_atom_site_fract_y
_atom_site_fract_z
Nb1 Nb 0.000 0.000 0.000
Al1 Al 0.000 0.000 0.343
Rh1 Rh 0.500 0.500 0.192
Rh2 Rh 0.500 0.500 0.500
```

Output
density of states at the Fermi level = 0.60 states/eV per atom
formation energy = -0.8973 eV/atom
ρ = 8.78 Mg/m³


No. 10
Zn4Pd15Pt after structural relaxation, computed with PBE-GGA.

Cell and atoms, written as CIF:
```
data_Zn4Pd15Pt
_cell_length_a 3.916
_cell_length_b 3.916
_cell_length_c 19.651
_cell_angle_alpha 90.00
_cell_angle_beta 90.00
_cell_angle_gamma 90.00
_space_group_name_H-M_alt 'P 4/m m m'
_space_group_IT_number 123
_space_group_name_Hall '-P 4 2'
loop_
_atom_site_label
_atom_site_type_symbol
_atom_site_fract_x
_atom_site_fract_y
_atom_site_fract_z
Zn1 Zn 0.000 0.000 0.100
Zn2 Zn 0.000 0.000 0.298
Pd1 Pd 0.000 0.500 0.000
Pd2 Pd 0.000 0.500 0.199
Pd3 Pd 0.000 0.500 0.397
Pd4 Pd 0.500 0.500 0.100
Pd5 Pd 0.500 0.500 0.298
Pd6 Pd 0.500 0.500 0.500
Pt1 Pt 0.000 0.000 0.500
```

Output
density of states at the Fermi level = 1.53 states/eV per atom
formation energy = -0.2517 eV/atom
ρ = 11.31 Mg/m³